No. 1
Compound: SrPu2Hg6
Source: Alexandria
Functional: PBE
Structure: relaxed

Summary:
Its formation energy from the elements is -5.841 kcal/mol of atoms. For the total magnetic moment, the calculation gives 11.532 μB per formula unit.

Lattice parameters (Å, degrees): 8.8786 8.8786 3.3645 90.00 90.00 120.00
Space group P6/mmm (No. 191)
Unique sites:
Sr1 0.0000 0.0000 0.0000 x1
Pu1 0.3333 0.6667 0.0000 x2
Hg1 0.0000 0.3353 0.5000 x6

=====

No. 2
Compound: DyPaTlO6
Source: Alexandria
Functional: PBE
Structure: relaxed

Summary:
For the total magnetic moment, the calculation gives 0.577 μB per formula unit. The value obtained for the uncorrected formation energy is -2.39 eV per atom.

Lattice parameters (Å, degrees): 5.6907 5.6907 4.8643 90.00 90.00 120.00
Space group P312 (No. 149)
Unique sites:
Dy1 0.0000 0.0000 0.0000 x1
Pa1 0.6667 0.3333 0.5000 x1
Tl1 0.3333 0.6667 0.0000 x1
O1 0.3487 0.0166 0.2479 x6

=====

No. 3
Compound: Ac3La3Ge4
Source: Alexandria
Functional: PBE
Structure: relaxed

Summary:
Its formation energy from the elements is -15.993 kcal/mol of atoms. For the total magnetic moment, the calculation gives 0.000 μB per formula unit.

Lattice parameters (Å, degrees): 4.5580 11.2409 12.1376 90.00 90.00 90.00
Space group Amm2 (No. 38)
Unique sites:
Ac1 0.0000 0.0000 0.0000 x2
Ac2 0.0000 0.1670 0.6628 x4
La1 0.0000 0.0000 0.3336 x2
La2 0.5000 0.2503 0.4132 x4
Ge1 0.5000 0.0000 0.5224 x2
Ge2 0.5000 0.0000 0.7995 x2
Ge3 0.5000 0.1172 0.1712 x4

=====

No. 4
Compound: MgCr2ReN
Source: Alexandria
Functional: PBE
Structure: relaxed

Summary:
For the total magnetic moment, the calculation gives 7.123 μB per formula unit. The value obtained for the uncorrected formation energy is 0.93 eV per atom.

Lattice parameters (Å, degrees): 4.9809 4.9809 3.8159 90.00 90.00 90.00
Space group P4/mmm (No. 123)
Unique sites:
Mg1 0.0000 0.0000 0.0000 x1
Cr1 0.0000 0.5000 0.5000 x2
Re1 0.5000 0.5000 0.5000 x1
N1 0.5000 0.5000 0.0000 x1

=====

No. 5
Compound: TiPd2Cl
Source: Alexandria
Functional: PBE
Structure: relaxed

Summary:
The value obtained for the energy above the most stable polymorph in this dataset is 0.0 meV per atom. For the total magnetic moment, the calculation gives 0.000 μB per formula unit. The value obtained for the uncorrected formation energy is -0.13 eV per atom.

Lattice parameters (Å, degrees): 7.2887 7.2887 5.2773 90.00 90.00 90.00
Space group I-42d (No. 122)
Unique sites:
Ti1 0.0000 0.0000 0.0000 x4
Pd1 0.2338 0.7500 0.1250 x8
Cl1 0.0000 0.0000 0.5000 x4

=====

No. 6
Compound: LaTb6Pr5
Source: Alexandria
Functional: PBE
Structure: relaxed

Summary:
Its formation energy from the elements is 0.242 kcal/mol of atoms. The value obtained for the energy above the most stable polymorph in this dataset is 0.0 meV per atom. For the total magnetic moment, the calculation gives 0.000 μB per formula unit.

Lattice parameters (Å, degrees): 6.3323 10.9692 11.9465 90.00 100.14 90.00
Space group C2/m (No. 12)
Unique sites:
La1 0.0000 0.0000 0.0000 x2
Tb1 0.2504 0.0000 0.7496 x4
Tb2 0.2505 0.1670 0.2505 x8
Pr1 0.0000 0.1668 0.5000 x4
Pr2 0.0000 0.3332 0.0000 x4
Pr3 0.0000 0.5000 0.5000 x2